(1)
Computed, not measured: crystalline FeSb2Br at its relaxed geometry at the PBE level of DFT.

Cell lengths 6.363, 6.363, 7.561 Å; angles 65.11, 65.11, 90.00 degrees
Fractional positions:
1 Sb 0.875 0.759 0.750
2 Sb 0.375 0.491 0.750
3 Sb 0.241 0.625 0.250
4 Sb 0.509 0.125 0.250
5 Br 0.750 0.250 0.500
6 Br 0.000 0.000 0.000
7 Fe 0.250 0.750 0.500
8 Fe 0.500 0.500 0.000

Formation energy (no corrections)   0.247 eV per atom
Space-group type   I-42d (122)
Magnetization   0.000 Bohr magnetons per cell
DOS at the Fermi energy   4.8 states/eV per cell

---

(2)
Computed, not measured: crystalline FeSbBr at its relaxed geometry at the PBE level of DFT.

Cell lengths 7.834, 6.986, 6.986 Å; angles 153.35, 153.47, 36.87 degrees
Fractional positions:
1 Fe 0.167 0.324 0.843
2 Br 0.163 0.959 0.204
3 Sb 0.669 0.717 0.953

Formation energy (no corrections)   0.075 eV per atom
Space-group type   Cm (8)
Magnetization   2.803 Bohr magnetons per cell
DOS at the Fermi energy   2.6 states/eV per cell

---

(3)
Computed, not measured: crystalline FeSb2Br at its relaxed geometry at the PBE level of DFT.

Cell lengths 5.050, 5.050, 5.050 Å; angles 60.00, 60.00, 60.00 degrees
Fractional positions:
1 Br 0.500 0.500 0.500
2 Sb 0.250 0.250 0.250
3 Sb 0.750 0.750 0.750
4 Fe 0.000 0.000 0.000

Formation energy (no corrections)   0.577 eV per atom
Space-group type   Fm-3m (225)
Magnetization   2.590 Bohr magnetons per cell
DOS at the Fermi energy   2.1 states/eV per cell

---

(4)
Computed, not measured: crystalline FeSb2Br at its relaxed geometry at the PBE level of DFT.

Cell lengths 3.274, 5.648, 5.091 Å; angles 90.00, 90.00, 90.00 degrees
Fractional positions:
1 Br 0.500 0.000 0.500
2 Sb 0.500 0.500 0.000
3 Sb 0.000 0.000 0.000
4 Fe 0.000 0.500 0.500

Formation energy (no corrections)   0.527 eV per atom
Space-group type   Pmmm (47)
Magnetization   3.112 Bohr magnetons per cell
DOS at the Fermi energy   3.8 states/eV per cell

---

(5)
Computed, not measured: crystalline FeSb2Br at its relaxed geometry at the PBE level of DFT.

Cell lengths 7.457, 7.457, 5.474 Å; angles 67.44, 67.44, 25.38 degrees
Fractional positions:
1 Sb 0.113 0.113 0.863
2 Sb 0.215 0.215 0.245
3 Br 0.401 0.401 0.570
4 Fe 0.771 0.771 0.822

Formation energy (no corrections)   0.091 eV per atom
Space-group type   Cm (8)
Magnetization   2.920 Bohr magnetons per cell
DOS at the Fermi energy   1.0 states/eV per cell

---

(6)
Computed, not measured: crystalline FeSbBr2 at its relaxed geometry at the PBE level of DFT.

Cell lengths 3.476, 5.752, 7.049 Å; angles 52.44, 90.00, 90.00 degrees
Fractional positions:
1 Br 0.500 0.287 0.381
2 Br 0.000 0.026 0.018
3 Sb 0.500 0.614 0.684
4 Fe 0.000 0.573 0.417

Formation energy (no corrections)   -0.073 eV per atom
Space-group type   Pm (6)
Magnetization   2.890 Bohr magnetons per cell
DOS at the Fermi energy   3.1 states/eV per cell

---

(7)
Computed, not measured: crystalline FeSb2Br at its relaxed geometry at the PBE level of DFT.

Cell lengths 9.664, 9.664, 9.664 Å; angles 21.12, 21.12, 21.12 degrees
Fractional positions:
1 Sb 0.018 0.018 0.018
2 Sb 0.268 0.268 0.268
3 Br 0.467 0.467 0.467
4 Fe 0.747 0.747 0.747

Formation energy (no corrections)   0.080 eV per atom
Space-group type   R3m (160)
Magnetization   2.596 Bohr magnetons per cell
DOS at the Fermi energy   2.7 states/eV per cell

---

(8)
Computed, not measured: crystalline Fe2SbBr2 at its relaxed geometry at the PBE level of DFT.

Cell lengths 7.630, 7.630, 3.580 Å; angles 90.00, 90.00, 90.00 degrees
Fractional positions:
1 Br 0.649 0.851 0.500
2 Br 0.149 0.649 0.500
3 Br 0.851 0.351 0.500
4 Br 0.351 0.149 0.500
5 Sb 0.500 0.500 0.000
6 Sb 0.000 0.000 0.000
7 Fe 0.888 0.612 0.000
8 Fe 0.112 0.388 0.000
9 Fe 0.612 0.112 0.000
10 Fe 0.388 0.888 0.000

Formation energy (no corrections)   0.499 eV per atom
Space-group type   P4/mbm (127)
Magnetization   12.470 Bohr magnetons per cell
DOS at the Fermi energy   13.4 states/eV per cell